No. 1
This record from the Alexandria database describes a relaxed structure of Hf9W4S. The functional is PBE. Values from VASP.

Cell and atoms, written as Quantum ESPRESSO input:
```
&SYSTEM
  ibrav = 0, nat = 28, ntyp = 3
/
ATOMIC_SPECIES
Hf 178.49 Hf.upf
S 32.06 S.upf
W 183.84 W.upf
CELL_PARAMETERS angstrom
-6.048 -3.846 -4.939
8.030 -3.332 0.433
-2.369 -4.842 6.672
ATOMIC_POSITIONS angstrom
Hf -3.177 -3.595 -0.980
Hf 2.790 -8.426 3.146
Hf 1.837 -2.313 -0.448
Hf -4.599 -6.421 -0.201
Hf -5.535 -8.334 2.435
Hf -0.219 -4.822 -0.821
Hf -2.447 -6.239 -2.640
Hf 2.654 -5.273 -2.306
Hf -1.288 -7.795 -0.023
Hf 5.148 -3.687 -0.270
Hf 4.212 -5.600 2.367
Hf -3.041 -6.748 4.472
Hf -0.168 -7.198 2.986
Hf -2.224 -9.708 2.613
Hf 2.060 -5.782 4.806
Hf 0.901 -4.226 2.188
Hf -2.105 -4.834 1.836
Hf 1.718 -7.186 0.330
S 2.745 -4.714 0.310
S -3.132 -7.307 1.855
W 4.690 -7.021 4.840
W 0.656 -9.586 1.546
W -1.184 -2.421 3.336
W -5.077 -5.000 -2.675
W 0.278 -7.222 -2.386
W -0.665 -4.798 4.552
W 0.000 0.000 0.000
W -1.044 -2.435 0.619
```

Results
Density of states at the Fermi level (states/eV/cell): 21.04
E_tot (eV/cell): -299.15

No. 2
This record from the Alexandria database describes a relaxed structure of La3Ru. The functional is PBE. Values from VASP.

Cell and atoms, written as Quantum ESPRESSO input:
```
&SYSTEM
  ibrav = 0, nat = 8, ntyp = 2
/
ATOMIC_SPECIES
La 138.91 La.upf
Ru 101.07 Ru.upf
CELL_PARAMETERS angstrom
-2.226 2.226 10.875
2.226 -2.226 10.875
2.226 2.226 -10.875
ATOMIC_POSITIONS angstrom
La 0.000 0.000 2.761
La 0.000 0.000 18.989
La 2.226 0.000 5.437
La 2.226 0.000 0.000
La 0.000 2.226 5.437
La 0.000 2.226 0.000
Ru 0.000 0.000 13.603
Ru 0.000 0.000 8.146
```

Results
Density of states at the Fermi level (states/eV/cell): 9.15
E_tot (eV/cell): -46.97